## CaNiW2 (PBE-GGA)

Data for a relaxed structure of CaNiW2.

## Properties
Spin magnetization ... 0.000 μB per formula unit
DFT formation energy ... 66 kJ per mole of atoms
E above lowest polymorph ... 244 meV/atom

Cell: 5.0510 2.7539 4.9730 Å, 83.33 90.00 90.00°
Positions (direct):
Ni  0.5000  0.7500  0.7500
Ca  0.5000  0.2500  0.2500
W  0.0000  0.9444  0.9960
W  0.0000  0.5556  0.5040

## Mg2ScPdO (PBE-GGA)

Data for a relaxed structure of Mg2ScPdO.

## Properties
Spin magnetization ... 0.000 μB per formula unit
Energy ... -26.24 eV per formula unit

Cell: 4.2158 4.2158 4.3713 Å, 90.00 90.00 90.00°
Positions (direct):
Pd  0.5000  0.5000  0.5000
O  0.0000  0.0000  0.0000
Sc  0.0000  0.0000  0.5000
Mg  0.5000  0.0000  0.0000
Mg  0.0000  0.5000  0.0000

## EuGd2Be (PBE-GGA)

Data for a relaxed structure of EuGd2Be.

## Properties
Spin magnetization ... 22.456 μB per formula unit
DFT formation energy ... 10 kJ per mole of atoms
E above lowest polymorph ... 0 meV/atom

Cell: 3.5482 3.5482 9.0035 Å, 90.00 90.00 90.00°
Site moments in Bohr magnetons follow the coordinates.
Positions (direct):
Be  0.5000  0.5000  0.0000  -0.04
Gd  0.0000  0.0000  0.1772  7.20
Gd  0.0000  0.0000  0.8228  7.20
Eu  0.5000  0.5000  0.5000  7.00

## Si2IrRu (PBE-GGA)

Data for a relaxed structure of Si2IrRu.

## Properties
Spin magnetization ... 0.000 μB per formula unit
Energy ... -28.73 eV per formula unit

Cell: 5.3626 5.3626 6.5097 Å, 65.68 65.68 90.00°
Positions (direct):
Ir  0.7500  0.2500  0.5000
Ir  0.0000  0.0000  0.0000
Ru  0.5000  0.5000  0.0000
Ru  0.2500  0.7500  0.5000
Si  0.6259  0.1250  0.2500
Si  0.1241  0.6250  0.2500
Si  0.8750  0.8759  0.7500
Si  0.3750  0.3741  0.7500

## HRh2Se (PBE-GGA)

Data for a relaxed structure of HRh2Se.

## Properties
Spin magnetization ... 0.000 μB per formula unit
E above lowest polymorph ... 86 meV/atom

Cell: 3.0422 3.0422 6.3068 Å, 76.04 76.04 60.00°
Positions (direct):
H  0.0000  0.0000  0.0000
Rh  0.2707  0.2707  0.1880
Rh  0.7293  0.7293  0.8120
Se  0.5000  0.5000  0.5000

## Pm6Ho4Sc (PBE-GGA)

Data for a relaxed structure of Pm6Ho4Sc.

## Properties
Spin magnetization ... 2.332 μB per formula unit
DFT formation energy ... 47 kJ per mole of atoms
E above lowest polymorph ... 362 meV/atom

Cell: 8.0910 8.0910 8.3106 Å, 119.13 119.13 90.00°
Site moments in Bohr magnetons follow the coordinates.
Positions (direct):
Sc  0.5000  0.5000  0.0000  0.45
Ho  0.8923  0.8923  0.1242  0.09
Ho  0.1077  0.7681  0.8758  0.09
Ho  0.7681  0.1077  0.8758  0.09
Ho  0.2319  0.2319  0.1242  0.09
Pm  0.0000  0.5000  0.0000  0.03
Pm  0.5000  0.0000  0.0000  0.03
Pm  0.5979  0.5979  0.5549  0.10
Pm  0.9570  0.9570  0.5549  0.10
Pm  0.4021  0.0430  0.4451  0.10
Pm  0.0430  0.4021  0.4451  0.10

## AlZnAsSe (PBE-GGA)

Data for a relaxed structure of AlZnAsSe.

## Properties
Spin magnetization ... 0.000 μB per formula unit
Energy ... -15.55 eV per formula unit

Cell: 4.0542 4.0542 7.0198 Å, 90.00 106.79 120.00°
Positions (direct):
Al  0.2046  0.4864  0.6911
Zn  0.2122  0.9901  0.2023
As  0.4593  0.1137  0.5731
Se  0.4529  0.6105  0.0634

## Tl3GaCo (PBE-GGA)

Data for a relaxed structure of Tl3GaCo.

## Properties
Spin magnetization ... 0.000 μB per formula unit
DFT formation energy ... 27 kJ per mole of atoms

Cell: 5.0763 5.0763 5.0763 Å, 90.00 90.00 90.00°
Positions (direct):
Tl  0.5000  0.0000  0.0000
Tl  0.0000  0.0000  0.5000
Tl  0.0000  0.5000  0.0000
Co  0.0000  0.0000  0.0000
Ga  0.5000  0.5000  0.5000

## CsTl10Cd2 (PBE-GGA)

Data for a relaxed structure of CsTl10Cd2.

## Properties
Spin magnetization ... 0.000 μB per formula unit
DFT formation energy ... -2 kJ per mole of atoms

Cell: 6.3664 8.7659 8.6244 Å, 82.30 68.34 68.71°
Positions (direct):
Tl  0.5000  0.0000  0.5000
Tl  0.6417  0.3629  0.3537
Tl  0.4930  0.2231  0.7908
Tl  0.7162  0.7769  0.7908
Tl  0.5070  0.7769  0.2092
Tl  0.2838  0.2231  0.2092
Tl  0.9954  0.3629  0.6463
Tl  0.3583  0.6371  0.6463
Tl  0.0046  0.6371  0.3537
Tl  0.0000  0.0000  0.5000
Cs  0.0000  0.0000  0.0000
Cd  0.5000  0.5000  0.0000
Cd  0.0000  0.5000  0.0000

Number 7 is which compound? AlZnAsSe

Among the records above, which one has the highest spin magnetization? EuGd2Be

Among the records above, which one has the highest spin magnetization? EuGd2Be